Computed, not measured: an optimized crystal structure of MnAlCu2H at the PBE level of DFT.

Computed properties:
Magnetization   1.89 μB/cell
Total energy   -4.94 eV per atom
Crystal system   tetragonal

Cell: 3.7334 3.7334 3.7556 Å, 90.00 90.00 90.00°
Sites, in units of the cell vectors:
Al 0.5000 0.5000 0.5000
Cu 0.5000 0.0000 0.0000
Cu 0.0000 0.5000 0.0000
H 0.0000 0.0000 0.0000
Mn 0.0000 0.0000 0.5000

***

Computed, not measured: an optimized crystal structure of Ac2H4Se at the PBE level of DFT.

Computed properties:
Magnetization   0.00 μB/cell
Total energy   -4.57 eV per atom
Crystal system   trigonal

Cell: 4.2192 4.2192 8.1809 Å, 75.06 75.06 60.00°
Sites, in units of the cell vectors:
Ac 0.2435 0.2435 0.2694
Se 0.0000 0.0000 0.0000
H 0.4329 0.4329 0.7012
Ac 0.7565 0.7565 0.7306
H 0.8643 0.8643 0.4070
H 0.1357 0.1357 0.5930
H 0.5671 0.5671 0.2988